{
  "formula": "LiBrCl",
  "functional": "PBEsol",
  "state": "relaxed",
  "cell": [[-4.225, -1.582, -0.016], [-1.257, -3.045, -3.082], [-0.819, -4.260, 1.241]],
  "species": ["Li", "Cl", "Br"],
  "frac_coords": [[0.750, 0.750, 0.750], [0.500, 0.500, 0.500], [0.000, 0.000, 0.000]],
  "formation_energy_uncorrected_mev_per_atom": -793
}

{
  "formula": "SbMoP2",
  "functional": "PBEsol",
  "state": "relaxed",
  "cell": [[-2.010, -2.002, -3.512], [2.493, -1.719, -3.349], [0.300, -4.474, -0.523]],
  "species": ["P", "P", "Mo", "Sb"],
  "frac_coords": [[0.000, 0.000, 0.000], [0.750, 0.750, 0.750], [0.500, 0.500, 0.500], [0.250, 0.250, 0.250]],
  "formation_energy_uncorrected_mev_per_atom": 556
}

{
  "formula": "BaSe2O5",
  "functional": "PBEsol",
  "state": "relaxed",
  "cell": [[4.517, 0.025, 0.000], [-0.377, 9.724, 0.000], [0.000, 0.000, 11.675]],
  "species": ["O", "O", "O", "O", "O", "O", "O", "O", "O", "O", "O", "O", "O", "O", "O", "O", "O", "O", "O", "O", "Ba", "Ba", "Ba", "Ba", "Se", "Se", "Se", "Se", "Se", "Se", "Se", "Se"],
  "frac_coords": [[0.233, 0.468, 0.189], [0.282, 0.202, 0.143], [0.163, 0.259, 0.844], [0.767, 0.532, 0.811], [0.233, 0.968, 0.311], [0.868, 0.846, 0.465], [0.282, 0.702, 0.357], [0.868, 0.346, 0.035], [0.246, 0.904, 0.060], [0.767, 0.032, 0.689], [0.754, 0.596, 0.560], [0.837, 0.741, 0.156], [0.163, 0.759, 0.656], [0.132, 0.654, 0.965], [0.754, 0.096, 0.940], [0.837, 0.241, 0.344], [0.246, 0.404, 0.440], [0.132, 0.154, 0.535], [0.718, 0.298, 0.643], [0.718, 0.798, 0.857], [0.245, 0.462, 0.668], [0.755, 0.538, 0.332], [0.755, 0.038, 0.168], [0.245, 0.962, 0.832], [0.808, 0.759, 0.609], [0.192, 0.241, 0.391], [0.192, 0.741, 0.109], [0.736, 0.143, 0.579], [0.264, 0.857, 0.421], [0.736, 0.643, 0.921], [0.808, 0.259, 0.891], [0.264, 0.357, 0.079]],
  "formation_energy_uncorrected_mev_per_atom": -1488
}

{
  "formula": "CrSiOs",
  "functional": "PBEsol",
  "state": "relaxed",
  "cell": [[-2.364, -1.335, 0.398], [1.659, -2.244, 2.324], [-0.479, 4.107, 1.470]],
  "species": ["Os", "Cr", "Si"],
  "frac_coords": [[0.669, 0.669, 0.337], [0.998, 0.998, 0.995], [0.334, 0.334, 0.668]],
  "formation_energy_uncorrected_mev_per_atom": -136
}

{
  "formula": "Sr2GeIrC",
  "functional": "PBEsol",
  "state": "relaxed",
  "cell": [[-1.641, 0.773, -3.359], [0.083, -5.658, -1.342], [-5.250, -0.650, 2.415]],
  "species": ["Sr", "Sr", "Ge", "Ir", "C"],
  "frac_coords": [[0.000, 0.500, 0.000], [0.000, 0.000, 0.500], [0.500, 0.500, 0.500], [0.000, 0.000, 0.000], [0.500, 0.000, 0.000]],
  "total_energy_ev_per_atom": -5.4331
}

{
  "formula": "Li4V5O9F",
  "functional": "PBEsol",
  "state": "relaxed",
  "cell": [[-3.669, -1.974, 2.399], [1.363, -4.173, -2.829], [4.952, 1.653, 5.671]],
  "species": ["O", "O", "O", "O", "O", "O", "O", "O", "O", "Li", "Li", "Li", "Li", "V", "V", "V", "V", "V", "F"],
  "frac_coords": [[0.164, 0.807, 0.547], [0.834, 0.186, 0.447], [0.257, 0.021, 0.247], [0.642, 0.804, 0.044], [0.967, 0.418, 0.153], [0.354, 0.165, 0.959], [0.032, 0.618, 0.851], [0.558, 0.575, 0.359], [0.463, 0.445, 0.643], [0.894, 0.803, 0.316], [0.487, 0.007, 0.493], [0.301, 0.582, 0.090], [0.687, 0.406, 0.891], [0.337, 0.772, 0.779], [0.995, 0.021, 0.036], [0.169, 0.402, 0.401], [0.648, 0.199, 0.199], [0.845, 0.583, 0.591], [0.745, 0.985, 0.761]],
  "formation_energy_uncorrected_mev_per_atom": -2358
}

no.,total magnetization (μB per cell)
1,0.00
2,0.00
3,0.00
4,0.00
5,0.01
6,0.00